[1]
Cs2InPBr6 PBE-GGA relaxed; M_tot = 0.00 μB/f.u.; crystal system = tetragonal; density = 4.080 g/cm³; formation energy without anion corrections = -0.9906 eV/atom
1.0
-0.915 -1.998 7.699
7.900 0.668 1.112
2.842 4.793 5.745
Cs P Br In
2 1 6 1
Direct
0.750 0.250 0.500 Cs
0.250 0.750 0.500 Cs
0.500 0.500 0.000 P
0.268 0.268 0.463 Br
0.732 0.732 0.537 Br
0.269 0.269 0.000 Br
0.731 0.731 0.000 Br
0.731 0.269 0.000 Br
0.269 0.731 0.000 Br
0.000 0.000 0.000 In

---

[2]
Ba2SbC PBE-GGA relaxed; M_tot = 3.00 μB/f.u.; E above lowest polymorph = 32 meV/atom; crystal system = cubic; density = 4.951 g/cm³; formation energy without anion corrections = 0.4641 eV/atom
1.0
0.000 4.091 4.091
4.091 0.000 4.091
4.091 4.091 0.000
Sb C Ba
1 1 2
Direct
0.500 0.500 0.500 Sb
0.000 0.000 0.000 C
0.250 0.250 0.250 Ba
0.750 0.750 0.750 Ba

---

[3]
SmRuO PBE-GGA relaxed; M_tot = 0.00 μB/f.u.; crystal system = orthorhombic; density = 8.145 g/cm³; formation energy without anion corrections = -1.6213 eV/atom
1.0
5.318 0.000 0.000
0.000 5.219 -0.639
0.000 -1.657 8.061
Sm Ru O
4 4 4
Direct
0.500 0.330 0.661 Sm
0.000 0.170 0.339 Sm
0.500 0.670 0.339 Sm
0.000 0.830 0.661 Sm
0.184 0.658 0.000 Ru
0.316 0.158 0.000 Ru
0.816 0.342 0.000 Ru
0.684 0.842 0.000 Ru
0.250 0.001 0.500 O
0.250 0.501 0.500 O
0.750 0.999 0.500 O
0.750 0.499 0.500 O

---

[4]
Sr2InSb3Pd4 PBE-GGA relaxed; M_tot = 0.00 μB/f.u.; crystal system = tetragonal; density = 7.570 g/cm³; formation energy without anion corrections = -0.7626 eV/atom
1.0
-3.894 -1.894 1.682
1.995 -4.194 -0.104
3.693 1.503 10.241
Sr In Sb Pd
2 1 3 4
Direct
0.500 0.000 0.240 Sr
0.000 0.500 0.760 Sr
0.500 0.500 0.500 In
0.000 0.000 0.500 Sb
0.500 0.000 0.873 Sb
0.000 0.500 0.127 Sb
0.500 0.500 0.000 Pd
0.000 0.000 0.000 Pd
0.500 0.000 0.633 Pd
0.000 0.500 0.367 Pd

---

[5]
PmPr4S5 PBE-GGA relaxed; M_tot = 0.00 μB/f.u.; crystal system = tetragonal; density = 5.957 g/cm³; formation energy without anion corrections = -2.0197 eV/atom
1.0
-2.193 -3.435 -0.320
2.834 -2.010 2.154
-7.296 6.031 11.350
Pm Pr S
1 4 5
Direct
0.000 0.000 0.000 Pm
0.399 0.399 0.799 Pr
0.802 0.802 0.603 Pr
0.198 0.198 0.397 Pr
0.601 0.601 0.201 Pr
0.098 0.098 0.197 S
0.500 0.500 0.000 S
0.902 0.902 0.803 S
0.299 0.299 0.598 S
0.701 0.701 0.402 S

---

[6]
CsZnSb2I PBE-GGA relaxed; M_tot = 0.00 μB/f.u.; E above lowest polymorph = 0 meV/atom; crystal system = tetragonal; density = 4.698 g/cm³; formation energy without anion corrections = -0.0758 eV/atom
1.0
-1.409 -0.509 5.064
-3.913 -3.251 -1.416
4.442 -5.637 0.669
Cs I Zn Sb
1 1 1 2
Direct
0.500 0.500 0.500 Cs
0.000 0.000 0.500 I
0.000 0.000 0.000 Zn
0.000 0.500 0.000 Sb
0.500 0.000 0.000 Sb

---

[7]
La3Pr4In PBE-GGA relaxed; M_tot = 0.00 μB/f.u.; E above lowest polymorph = 9 meV/atom; formation energy = -0.1147 eV per atom; crystal system = orthorhombic; density = 6.628 g/cm³
1.0
6.386 0.000 0.000
0.000 7.315 0.000
0.000 0.000 11.747
La Pr In
6 8 2
Direct
0.489 0.878 0.000 La
0.157 0.889 0.243 La
0.657 0.111 0.257 La
0.989 0.122 0.500 La
0.657 0.111 0.743 La
0.157 0.889 0.757 La
0.955 0.630 0.000 Pr
0.500 0.369 0.000 Pr
0.140 0.367 0.232 Pr
0.640 0.633 0.268 Pr
0.000 0.631 0.500 Pr
0.455 0.370 0.500 Pr
0.640 0.633 0.732 Pr
0.140 0.367 0.768 Pr
0.978 0.123 0.000 In
0.478 0.877 0.500 In

---

[8]
La3Tb8Tm4 PBE-GGA relaxed; M_tot = 0.00 μB/f.u.; formation energy = 0.3906 eV per atom; crystal system = monoclinic; density = 7.764 g/cm³
1.0
-4.918 -0.243 4.661
-3.015 -2.921 -8.304
5.287 -7.653 0.211
La Tb Tm
3 8 4
Direct
0.500 0.500 0.000 La
0.500 0.000 0.500 La
0.500 0.500 0.500 La
0.557 0.271 0.271 Tb
0.000 0.644 0.356 Tb
0.013 0.254 0.254 Tb
0.500 0.748 0.252 Tb
0.500 0.252 0.748 Tb
0.987 0.746 0.746 Tb
0.000 0.356 0.644 Tb
0.443 0.729 0.729 Tb
0.500 0.000 0.000 Tm
0.000 0.500 0.000 Tm
0.000 0.000 0.000 Tm
0.000 0.000 0.500 Tm

---

[9]
U2ZnNi3Ge4 PBE-GGA relaxed; M_tot = 4.29 μB/f.u.; formation energy = -0.3459 eV per atom; crystal system = tetragonal; density = 10.114 g/cm³
1.0
4.090 0.000 0.000
0.000 4.090 0.000
0.000 0.000 9.895
U Zn Ni Ge
2 1 3 4
Direct
0.500 0.000 0.244 U
0.000 0.500 0.756 U
0.500 0.500 0.500 Zn
0.000 0.000 0.500 Ni
0.500 0.000 0.877 Ni
0.000 0.500 0.123 Ni
0.500 0.500 0.000 Ge
0.000 0.000 0.000 Ge
0.500 0.000 0.643 Ge
0.000 0.500 0.357 Ge

---

[10]
CrFeOs2 PBE-GGA relaxed; M_tot = 4.51 μB/f.u.; formation energy = 0.2052 eV per atom; crystal system = tetragonal; density = 15.314 g/cm³
1.0
2.933 0.000 0.000
0.000 2.933 0.000
0.000 0.000 6.157
Cr Fe Os
1 1 2
Direct
0.500 0.500 0.250 Cr
0.500 0.500 0.750 Fe
0.000 0.000 0.999 Os
0.000 0.000 0.501 Os

---

[11]
CsTiAs2Se PBE-GGA relaxed; M_tot = 0.13 μB/f.u.; E above lowest polymorph = 2202 meV/atom; crystal system = tetragonal; density = 3.966 g/cm³; formation energy without anion corrections = 1.7906 eV/atom
1.0
-1.182 -4.909 2.488
-0.227 -2.499 -5.039
5.287 -1.114 0.314
Cs As Se Ti
1 2 1 1
Direct
0.000 0.000 0.000 Cs
0.000 0.500 0.000 As
0.500 0.000 0.000 As
0.000 0.000 0.500 Se
0.500 0.500 0.500 Ti

---

[12]
MgNiRu3 PBE-GGA relaxed; M_tot = 5.01 μB/f.u.; E above lowest polymorph = 0 meV/atom; formation energy = 1.1963 eV per atom; crystal system = cubic; density = 7.093 g/cm³
1.0
4.488 0.000 0.000
0.000 4.488 0.000
0.000 0.000 4.488
Ru Mg Ni
3 1 1
Direct
0.000 0.500 0.000 Ru
0.000 0.000 0.500 Ru
0.500 0.000 0.000 Ru
0.500 0.500 0.500 Mg
0.000 0.000 0.000 Ni

---

[13]
Sm3Si4Ir2 PBE-GGA relaxed; M_tot = 0.00 μB/f.u.; E above lowest polymorph = 15 meV/atom; crystal system = monoclinic; density = 8.502 g/cm³; formation energy without anion corrections = -0.8926 eV/atom
1.0
4.029 0.000 0.000
-2.015 5.534 -0.916
0.000 -0.182 8.333
Sm Si Ir
3 4 2
Direct
0.668 0.336 0.660 Sm
0.000 0.000 0.000 Sm
0.332 0.664 0.340 Sm
0.725 0.450 0.066 Si
0.275 0.550 0.934 Si
0.950 0.901 0.616 Si
0.050 0.099 0.384 Si
0.607 0.214 0.275 Ir
0.393 0.786 0.725 Ir

---

[14]
DyZnCd2 PBE-GGA relaxed; M_tot = 0.00 μB/f.u.; formation energy = -0.2194 eV per atom; crystal system = tetragonal; density = 8.301 g/cm³
1.0
-1.739 -4.301 -1.076
2.299 -1.747 3.268
-3.346 0.674 2.714
Zn Cd Dy
1 2 1
Direct
0.500 0.000 0.000 Zn
0.000 0.000 0.500 Cd
0.000 0.500 0.000 Cd
0.500 0.500 0.500 Dy

---

[15]
Ni2PdS3 PBE-GGA relaxed; M_tot = 0.00 μB/f.u.; crystal system = orthorhombic; density = 5.427 g/cm³; formation energy without anion corrections = -0.3074 eV/atom
1.0
-1.885 2.332 -5.488
-3.726 -4.746 1.641
-3.598 7.992 7.006
Ni Pd S
8 4 12
Direct
0.089 0.278 0.360 Ni
0.383 0.617 0.000 Ni
0.722 0.911 0.640 Ni
0.479 0.169 0.140 Ni
0.831 0.521 0.860 Ni
0.133 0.867 0.500 Ni
0.968 0.032 0.000 Ni
0.718 0.282 0.500 Ni
0.194 0.356 0.637 Pd
0.644 0.806 0.363 Pd
0.031 0.693 0.137 Pd
0.307 0.969 0.863 Pd
0.441 0.382 0.841 S
0.793 0.654 0.512 S
0.152 0.099 0.193 S
0.901 0.848 0.807 S
0.346 0.207 0.488 S
0.618 0.559 0.159 S
0.031 0.392 0.988 S
0.350 0.791 0.659 S
0.709 0.157 0.307 S
0.209 0.650 0.341 S
0.608 0.969 0.012 S
0.843 0.291 0.693 S

---

[16]
Ce2CoNi4As3 PBE-GGA relaxed; M_tot = 1.16 μB/f.u.; formation energy = -0.6947 eV per atom; crystal system = tetragonal; density = 8.287 g/cm³
1.0
-1.683 -2.203 -2.989
1.239 -3.427 1.829
-8.267 -0.362 4.922
Ce Co Ni As
2 1 4 3
Direct
0.500 0.000 0.252 Ce
0.000 0.500 0.748 Ce
0.500 0.500 0.500 Co
0.500 0.500 0.000 Ni
0.000 0.000 0.000 Ni
0.500 0.000 0.626 Ni
0.000 0.500 0.374 Ni
0.000 0.000 0.500 As
0.500 0.000 0.869 As
0.000 0.500 0.131 As

---

[17]
RbLi2TbCl6 PBE-GGA relaxed; M_tot = 0.00 μB/f.u.; crystal system = trigonal; density = 2.589 g/cm³; formation energy without anion corrections = -2.0533 eV/atom
1.0
6.624 0.001 -0.001
3.313 5.739 -0.003
3.309 1.911 7.947
Rb Li Tb Cl
1 2 1 6
Direct
0.816 0.816 0.552 Rb
0.644 0.644 0.069 Li
0.989 0.988 0.034 Li
0.316 0.316 0.052 Tb
0.593 0.255 0.234 Cl
0.255 0.919 0.233 Cl
0.918 0.593 0.233 Cl
0.377 0.714 0.869 Cl
0.714 0.039 0.870 Cl
0.039 0.377 0.870 Cl

---

[18]
CeMg3Hg2 PBE-GGA relaxed; M_tot = 0.88 μB/f.u.; E above lowest polymorph = 0 meV/atom; formation energy = -0.2331 eV per atom; crystal system = orthorhombic; density = 6.936 g/cm³
1.0
4.600 0.000 0.000
0.000 7.558 0.000
0.000 0.000 8.459
Ce Mg Hg
2 6 4
Direct
0.500 0.523 0.582 Ce
0.500 0.023 0.418 Ce
0.000 0.475 0.915 Mg
0.000 0.975 0.085 Mg
0.500 0.640 0.190 Mg
0.500 0.140 0.810 Mg
0.000 0.356 0.300 Mg
0.000 0.856 0.700 Mg
0.500 0.771 0.887 Hg
0.500 0.271 0.113 Hg
0.000 0.234 0.631 Hg
0.000 0.734 0.369 Hg

---

[19]
Hg2BiIr PBE-GGA relaxed; M_tot = 0.00 μB/f.u.; formation energy = 0.3222 eV per atom; crystal system = tetragonal; density = 9.320 g/cm³
1.0
10.568 0.000 0.000
0.000 10.568 0.000
5.284 5.284 2.560
Ir Bi Hg
2 2 4
Direct
0.500 0.500 0.000 Ir
0.250 0.750 0.500 Ir
0.000 0.000 0.000 Bi
0.750 0.250 0.500 Bi
0.375 0.125 0.250 Hg
0.375 0.625 0.250 Hg
0.375 0.625 0.750 Hg
0.875 0.625 0.750 Hg

---

[20]
TaSi PBE-GGA relaxed; M_tot = 0.00 μB/f.u.; crystal system = orthorhombic; density = 10.811 g/cm³; formation energy without anion corrections = -0.2861 eV/atom
1.0
-2.562 1.798 2.454
-0.895 -2.910 1.198
3.526 0.331 3.438
Si Ta
2 2
Direct
0.500 0.000 0.172 Si
0.500 0.500 0.672 Si
0.000 0.000 0.535 Ta
0.000 0.500 0.035 Ta

---

[21]
Sc3SnHg PBE-GGA relaxed; M_tot = 0.00 μB/f.u.; E above lowest polymorph = 420 meV/atom; formation energy = 0.1012 eV per atom; crystal system = cubic; density = 5.267 g/cm³
1.0
5.232 0.000 0.000
0.000 5.232 0.000
0.000 0.000 5.232
Sc Hg Sn
3 1 1
Direct
0.000 0.500 0.000 Sc
0.000 0.000 0.500 Sc
0.500 0.000 0.000 Sc
0.000 0.000 0.000 Hg
0.500 0.500 0.500 Sn

---

[22]
CaDyAlPb PBE-GGA relaxed; M_tot = 0.00 μB/f.u.; formation energy = -0.3082 eV per atom; crystal system = cubic; density = 6.732 g/cm³
1.0
5.341 0.000 0.000
2.671 4.625 0.000
2.671 1.542 4.361
Pb Ca Al Dy
1 1 1 1
Direct
0.250 0.250 0.250 Pb
0.500 0.500 0.500 Ca
0.750 0.750 0.750 Al
0.000 0.000 0.000 Dy

---

[23]
VHIr PBE-GGA relaxed; M_tot = 0.00 μB/f.u.; E above lowest polymorph = 28 meV/atom; crystal system = orthorhombic; density = 13.156 g/cm³
1.0
2.760 0.000 0.000
0.000 4.480 0.000
0.000 0.000 9.970
H Ir V
4 4 4
Direct
0.250 0.362 0.459 H
0.250 0.138 0.959 H
0.750 0.638 0.541 H
0.750 0.862 0.041 H
0.750 0.745 0.717 Ir
0.750 0.755 0.217 Ir
0.250 0.255 0.283 Ir
0.250 0.245 0.783 Ir
0.750 0.269 0.059 V
0.750 0.231 0.559 V
0.250 0.731 0.941 V
0.250 0.769 0.441 V

---

[24]
LuPaFeNi PBE-GGA relaxed; M_tot = 0.57 μB/f.u.; formation energy = -0.1400 eV per atom; crystal system = cubic; density = 11.871 g/cm³
1.0
-0.639 4.623 -0.436
-1.999 2.428 3.475
2.565 2.972 2.560
Ni Pa Lu Fe
1 1 1 1
Direct
0.250 0.250 0.250 Ni
0.000 0.000 0.000 Pa
0.500 0.500 0.500 Lu
0.750 0.750 0.750 Fe